DFT (GGA-PBE) results for a relaxed Cs2HfMnS4 crystal.

a = 6.0771 Å, b = 7.8481 Å, c = 13.1326 Å
α = 84.86°, β = 76.62°, γ = 67.22°
Last column: nearest neighbours and their distance in Å.
Element x y z (fractional)
1 Cs 0.1769 0.0000 0.6461  8 S 3.80-3.90
2 Cs 0.8231 0.0000 0.3539  8 S 3.80-3.90
3 Cs 0.5731 0.5000 0.8539  8 S 3.80-3.90
4 Cs 0.9269 0.5000 0.1461  8 S 3.80-3.90
5 Hf 0.7500 0.5000 0.5000  4 S 2.39
6 Hf 0.0000 0.0000 0.0000  4 S 2.39
7 Mn 0.2500 0.5000 0.5000  4 S 2.41
8 Mn 0.5000 0.0000 0.0000  4 S 2.41
9 S 0.2893 0.8148 0.1013  1 Hf 2.39, 1 Mn 2.41
10 S 0.2053 0.1852 0.8987  1 Hf 2.39, 1 Mn 2.41
11 S 0.8959 0.8148 0.8987  1 Hf 2.39, 1 Mn 2.41
12 S 0.6095 0.1852 0.1013  1 Hf 2.39, 1 Mn 2.41
13 S 0.4607 0.6852 0.3987  1 Hf 2.39, 1 Mn 2.41
14 S 0.5447 0.3148 0.6013  1 Hf 2.39, 1 Mn 2.41
15 S 0.8541 0.6852 0.6013  1 Hf 2.39, 1 Mn 2.41
16 S 0.1405 0.3148 0.3987  1 Hf 2.39, 1 Mn 2.41

Properties
**ΔE_f (raw)**: -1275 meV/atom
**SG**: Fddd
**Magnetic moment**: 10.00 Bohr magnetons per cell
**Uncorrected energy**: -5.943 eV per atom



DFT (GGA-PBE) results for a relaxed CsHfMnSe4 crystal.

a = 6.5590 Å, b = 7.0060 Å, c = 10.6844 Å
α = 90.00°, β = 120.77°, γ = 90.00°
Last column: nearest neighbours and their distance in Å.
Element x y z (fractional)
1 Cs 0.6699 0.7500 0.9498  7 Se 3.50-3.90
2 Cs 0.3301 0.2500 0.0502  7 Se 3.50-3.90
3 Hf 0.7758 0.7500 0.4463  6 Se 2.66-2.81
4 Hf 0.2242 0.2500 0.5537  6 Se 2.66-2.81
5 Mn 0.2087 0.7500 0.3541  4 Se 2.34-2.45
6 Mn 0.7913 0.2500 0.6459  4 Se 2.34-2.45
7 Se 0.0706 0.5044 0.6773  1 Mn 2.45, 1 Hf 2.70
8 Se 0.9294 0.0044 0.3227  1 Mn 2.45, 1 Hf 2.70
9 Se 0.9294 0.4956 0.3227  1 Mn 2.45, 1 Hf 2.70
10 Se 0.0706 0.9956 0.6773  1 Mn 2.45, 1 Hf 2.70
11 Se 0.3666 0.7500 0.1940  1 Mn 2.41, 1 Hf 2.66
12 Se 0.6334 0.2500 0.8060  1 Mn 2.41, 1 Hf 2.66
13 Se 0.5420 0.7500 0.5889  1 Mn 2.34
14 Se 0.4580 0.2500 0.4111  1 Mn 2.34

Properties
**ΔE_f (raw)**: -943 meV/atom
**SG**: P2_1/m
**Magnetic moment**: 7.99 Bohr magnetons per cell
**Uncorrected energy**: -5.788 eV per atom



DFT (GGA-PBE) results for a relaxed CsHfMo3 crystal.

a = 4.8730 Å, b = 4.8730 Å, c = 4.8730 Å
α = 90.00°, β = 90.00°, γ = 90.00°
Last column: nearest neighbours and their distance in Å.
Element x y z (fractional)
1 Cs 0.0000 0.0000 0.0000  6 Mo 2.44
2 Mo 0.0000 0.5000 0.0000  2 Cs 2.44
3 Mo 0.0000 0.0000 0.5000  2 Cs 2.44
4 Mo 0.5000 0.0000 0.0000  2 Cs 2.44
5 Hf 0.5000 0.5000 0.5000  12 Mo 3.45

Properties
**ΔH_f (0 K)**: 2.922 eV/atom
**Distance to the lowest polymorph of the same formula**: 667 meV/atom
**SG**: Pm-3m
**Magnetic moment**: 0.03 Bohr magnetons per cell
**Uncorrected energy**: -5.738 eV per atom



DFT (GGA-PBE) results for a relaxed CsHfMo3 crystal.

a = 5.1550 Å, b = 5.1550 Å, c = 5.1550 Å
α = 90.00°, β = 90.00°, γ = 90.00°
Last column: nearest neighbours and their distance in Å.
Element x y z (fractional)
1 Cs 0.5000 0.5000 0.5000  12 Mo 3.65
2 Mo 0.0000 0.5000 0.0000  2 Hf 2.58
3 Mo 0.0000 0.0000 0.5000  2 Hf 2.58
4 Mo 0.5000 0.0000 0.0000  2 Hf 2.58
5 Hf 0.0000 0.0000 0.0000  6 Mo 2.58

Properties
**ΔH_f (0 K)**: 2.254 eV/atom
**Distance to the lowest polymorph of the same formula**: 0 meV/atom
**SG**: Pm-3m
**Magnetic moment**: 5.89 Bohr magnetons per cell
**Uncorrected energy**: -6.406 eV per atom



Question: magnetic moment of number 2 (CsHfMnSe4)?
Answer: 7.99 Bohr magnetons per cell



Repeat the first record exactly.
DFT (GGA-PBE) results for a relaxed Cs2HfMnS4 crystal.

a = 6.0771 Å, b = 7.8481 Å, c = 13.1326 Å
α = 84.86°, β = 76.62°, γ = 67.22°
Last column: nearest neighbours and their distance in Å.
Element x y z (fractional)
1 Cs 0.1769 0.0000 0.6461  8 S 3.80-3.90
2 Cs 0.8231 0.0000 0.3539  8 S 3.80-3.90
3 Cs 0.5731 0.5000 0.8539  8 S 3.80-3.90
4 Cs 0.9269 0.5000 0.1461  8 S 3.80-3.90
5 Hf 0.7500 0.5000 0.5000  4 S 2.39
6 Hf 0.0000 0.0000 0.0000  4 S 2.39
7 Mn 0.2500 0.5000 0.5000  4 S 2.41
8 Mn 0.5000 0.0000 0.0000  4 S 2.41
9 S 0.2893 0.8148 0.1013  1 Hf 2.39, 1 Mn 2.41
10 S 0.2053 0.1852 0.8987  1 Hf 2.39, 1 Mn 2.41
11 S 0.8959 0.8148 0.8987  1 Hf 2.39, 1 Mn 2.41
12 S 0.6095 0.1852 0.1013  1 Hf 2.39, 1 Mn 2.41
13 S 0.4607 0.6852 0.3987  1 Hf 2.39, 1 Mn 2.41
14 S 0.5447 0.3148 0.6013  1 Hf 2.39, 1 Mn 2.41
15 S 0.8541 0.6852 0.6013  1 Hf 2.39, 1 Mn 2.41
16 S 0.1405 0.3148 0.3987  1 Hf 2.39, 1 Mn 2.41

Properties
**ΔE_f (raw)**: -1275 meV/atom
**SG**: Fddd
**Magnetic moment**: 10.00 Bohr magnetons per cell
**Uncorrected energy**: -5.943 eV per atom